SrRePCl2 | PBE | optimized geometry

Geometry as POSCAR:
```
SrRePCl2
1.0
5.000 0.000 0.000
0.000 5.000 0.000
0.000 0.000 4.617
Sr Cl P Re
1 2 1 1
Direct
0.500 0.500 0.500
0.500 0.000 0.000
0.000 0.500 0.000
0.000 0.000 0.500
0.000 0.000 0.000
```

Results
Symmetry: P4/mmm
VASP energy, eV per atom: -5.107

***

TaRePCl2 | PBE | optimized geometry

Geometry as POSCAR:
```
TaRePCl2
1.0
-0.079 -1.923 4.296
-3.699 -2.632 -1.247
2.932 -3.420 -1.477
Ta Cl Re P
1 2 1 1
Direct
0.500 0.500 0.500
0.000 0.500 0.000
0.500 0.000 0.000
0.000 0.000 0.000
0.000 0.000 0.500
```

Results
Symmetry: P4/mmm
VASP energy, eV per atom: -5.449

***

TaRePCl2 | PBE | optimized geometry

Geometry as POSCAR:
```
TaRePCl2
1.0
4.752 0.000 0.000
0.000 4.752 0.000
0.000 0.000 5.056
Cl Ta P Re
2 1 1 1
Direct
0.500 0.000 0.000
0.000 0.500 0.000
0.000 0.000 0.000
0.000 0.000 0.500
0.500 0.500 0.500
```

Results
Symmetry: P4/mmm
VASP energy, eV per atom: -5.734

***

ReTcP2Cl | PBE | optimized geometry

Geometry as POSCAR:
```
ReTcP2Cl
1.0
-2.079 4.077 -0.052
-1.353 -0.745 -4.308
-4.115 -2.078 1.652
Re Tc Cl P
1 1 1 2
Direct
0.500 0.500 0.500
0.000 0.000 0.000
0.000 0.000 0.500
0.000 0.500 0.000
0.500 0.000 0.000
```

Results
Symmetry: P4/mmm
VASP energy, eV per atom: -5.803

***

ReTcP2Cl | PBE | optimized geometry

Geometry as POSCAR:
```
ReTcP2Cl
1.0
-2.962 0.881 3.355
-3.440 -1.313 -2.692
0.499 -4.786 1.698
P Cl Re Tc
2 1 1 1
Direct
0.000 0.500 0.000
0.500 0.000 0.000
0.000 0.000 0.500
0.000 0.000 0.000
0.500 0.500 0.500
```

Results
Symmetry: P4/mmm
VASP energy, eV per atom: -6.025

***

ReTePCl2 | PBE | optimized geometry

Geometry as POSCAR:
```
ReTePCl2
1.0
-2.264 -1.314 -4.386
3.942 -3.048 -1.122
-2.531 -4.220 2.571
P Re Te Cl
1 1 1 2
Direct
0.000 0.000 0.500
0.500 0.500 0.500
0.000 0.000 0.000
0.500 0.000 0.000
0.000 0.500 0.000
```

Results
Symmetry: P4/mmm
VASP energy, eV per atom: -3.506